No. 1
Si2OsSe | PBE | relaxed

Values from the calculation:
- Crystal system: orthorhombic
- E_form (uncorrected): 56 meV/atom

a b c (Å): 3.0930 2.9214 6.9790
angles (deg): 90.00 90.00 90.00
Sites, in units of the cell vectors:
Se (0.5000, 0.7500, 0.7500)
Si (0.0000, 0.7500, 0.4569)
Os (0.5000, 0.2500, 0.2500)
Si (0.0000, 0.7500, 0.0431)

No. 2
SiOs2Se | PBE | relaxed

Values from the calculation:
- Crystal system: orthorhombic
- E_form (uncorrected): 620 meV/atom

a b c (Å): 2.7990 2.7990 9.7790
angles (deg): 90.00 90.00 120.08
Sites, in units of the cell vectors:
Os (0.0000, 0.0000, 0.0053)
Os (0.5000, 0.5000, 0.2386)
Se (0.0000, 0.0000, 0.4620)
Si (0.5000, 0.5000, 0.7941)

No. 3
Si2OsSe | PBE | relaxed

Values from the calculation:
- Crystal system: orthorhombic
- E_form (uncorrected): 266 meV/atom

a b c (Å): 6.6219 6.6219 6.6219
angles (deg): 154.74 145.45 43.28
Sites, in units of the cell vectors:
Si (0.6803, 0.1803, 0.5000)
Os (0.5199, 0.5199, 0.0000)
Se (0.3004, 0.8004, 0.5000)
Si (0.9994, 0.9994, 0.0000)

No. 4
Si2OsSe | PBE | relaxed

Values from the calculation:
- Crystal system: tetragonal
- E_form (uncorrected): 222 meV/atom

a b c (Å): 5.6229 5.6229 6.6970
angles (deg): 65.18 65.18 90.00
Sites, in units of the cell vectors:
Si (0.6591, 0.1250, 0.2500)
Se (0.2500, 0.7500, 0.5000)
Se (0.5000, 0.5000, 0.0000)
Os (0.0000, 0.0000, 0.0000)
Si (0.8750, 0.9091, 0.7500)
Os (0.7500, 0.2500, 0.5000)
Si (0.0909, 0.6250, 0.2500)
Si (0.3750, 0.3409, 0.7500)

No. 5
Si4OsSe | PBE | relaxed

Values from the calculation:
- Crystal system: cubic
- E_form (uncorrected): 884 meV/atom

a b c (Å): 5.0680 5.0680 5.0680
angles (deg): 60.00 60.00 60.00
Sites, in units of the cell vectors:
Si (0.3752, 0.3752, 0.8745)
Se (0.0000, 0.0000, 0.0000)
Si (0.3752, 0.3752, 0.3752)
Os (0.7500, 0.7500, 0.7500)
Si (0.3752, 0.8745, 0.3752)
Si (0.8745, 0.3752, 0.3752)

No. 6
SiOs2Se | PBE | relaxed

Values from the calculation:
- Crystal system: tetragonal
- E_form (uncorrected): 699 meV/atom

a b c (Å): 4.7620 4.7620 4.7620
angles (deg): 131.50 131.50 71.03
Sites, in units of the cell vectors:
Se (0.5000, 0.5000, 0.0000)
Si (0.7500, 0.2500, 0.5000)
Os (0.0000, 0.0000, 0.0000)
Os (0.2500, 0.7500, 0.5000)

No. 7
Si2OsSe | PBE | relaxed

Values from the calculation:
- Crystal system: trigonal
- E_form (uncorrected): 342 meV/atom

a b c (Å): 8.8149 8.8149 8.8149
angles (deg): 19.51 19.51 19.51
Sites, in units of the cell vectors:
Se (0.7670, 0.7670, 0.7670)
Si (0.9836, 0.9836, 0.9836)
Os (0.5044, 0.5044, 0.5044)
Si (0.2450, 0.2450, 0.2450)

No. 8
TaSiOsSe2 | PBE | relaxed

Values from the calculation:
- Crystal system: tetragonal
- E_form (uncorrected): 1287 meV/atom

a b c (Å): 4.6585 4.4999 4.6585
angles (deg): 90.00 90.00 90.00
Sites, in units of the cell vectors:
Se (0.0000, 0.0000, 0.5000)
Ta (0.5000, 0.5000, 0.5000)
Se (0.5000, 0.0000, 0.0000)
Os (0.0000, 0.5000, 0.0000)
Si (0.0000, 0.0000, 0.0000)

no.,magnetization (μB per cell)
1,0.000
2,0.000
3,0.000
4,0.000
5,0.000
6,0.000
7,0.000
8,0.001